Density functional theory data (GGA+U) for crystalline Na3CrNi2F9 at its relaxed geometry.

Output
**Electronic total energy**: -4.48 eV per atom
**Calculated density**: 3.41 Mg/m³
**Space group**: P-3m1 (164)
**M_tot**: 4.0 Bohr magnetons per cell

Lattice parameters (Å, degrees): 5.687 5.687 7.109 90.00 90.00 120.00
Sites, in units of the cell vectors:
Na 0.000 0.000 0.000
Na 0.333 0.667 0.717
Na 0.667 0.333 0.283
Cr 0.000 0.000 0.500
Ni 0.333 0.667 0.167
Ni 0.667 0.333 0.833
F 0.000 0.500 0.000
F 0.166 0.332 0.320
F 0.166 0.834 0.320
F 0.332 0.166 0.680
F 0.500 0.000 0.000
F 0.500 0.500 0.000
F 0.668 0.834 0.320
F 0.834 0.166 0.680
F 0.834 0.668 0.680